Entry 1:
Compound: Pm3Hg5Pb
Source: the Alexandria database
Functional: PBE-GGA
Structure: optimized geometry

Properties
- DOS(E_F) (states/eV per cell) = 11.0
- final energy (eV/atom) = -2.60
- volume (Å³ per atom) = 26.56
- ΔH_f (0 K) (meV per atom) = -441.4

a b c (Å): 6.5501 9.1799 9.1796
angles (deg): 120.00 90.00 90.00
Fractional coordinates of all 18 atoms:
Pm: 0.2500 0.0000 0.3366
Pm: 0.7500 0.3366 0.3366
Pm: 0.2500 0.3366 0.0000
Pm: 0.7500 0.6634 0.0000
Pm: 0.2500 0.6634 0.6634
Pm: 0.7500 0.0000 0.6634
Hg: 0.0000 0.3333 0.6666
Hg: 0.2500 0.6631 0.0000
Hg: 0.7500 0.0000 0.3368
Hg: 0.7500 0.3369 0.0000
Hg: 0.7500 0.6632 0.6632
Hg: 0.2500 0.0000 0.6632
Hg: 0.5000 0.3333 0.6666
Hg: 0.0000 0.6667 0.3334
Hg: 0.5000 0.6667 0.3334
Hg: 0.2500 0.3368 0.3368
Pb: 0.0000 0.0000 0.0000
Pb: 0.5000 0.0000 0.0000

---

Entry 2:
Compound: PmHgPb3
Source: the Alexandria database
Functional: PBE-GGA
Structure: optimized geometry

Properties
- DOS(E_F) (states/eV per cell) = 7.8
- final energy (eV/atom) = -3.32
- relative energy among the computed polymorphs (meV/atom) = 0
- volume (Å³ per atom) = 32.44
- ΔH_f (0 K) (meV per atom) = -83.3

a b c (Å): 7.6801 7.6801 7.6801
angles (deg): 102.70 100.47 126.76
Fractional coordinates of all 10 atoms:
Pb: 0.0032 0.7817 0.7215
Pb: 0.0316 0.2236 0.6919
Pb: 0.5317 0.3397 0.3081
Pb: 0.5317 0.7236 0.6920
Pb: 0.0316 0.8397 0.3080
Pb: 0.0602 0.2817 0.2785
Hg: 0.0317 0.5317 0.0000
Hg: 0.5317 0.0317 0.0000
Pm: 0.5536 0.7817 0.2719
Pm: 0.5098 0.2817 0.7281

---

Entry 3:
Compound: Pm4Hg7Pb
Source: the Alexandria database
Functional: PBE-GGA
Structure: optimized geometry

Properties
- DOS(E_F) (states/eV per cell) = 7.4
- final energy (eV/atom) = -2.34
- volume (Å³ per atom) = 29.00
- ΔH_f (0 K) (meV per atom) = -266.5

a b c (Å): 5.6302 9.8974 7.1027
angles (deg): 81.02 66.65 73.48
Fractional coordinates of all 12 atoms:
Hg: 0.0741 0.6614 0.1904
Hg: 0.6367 0.4653 0.2613
Hg: 0.9259 0.3386 0.8096
Hg: 0.2011 0.0892 0.5086
Hg: 0.5000 0.0000 0.0000
Hg: 0.3633 0.5347 0.7387
Hg: 0.7989 0.9108 0.4914
Pm: 0.2552 0.3306 0.1590
Pm: 0.7448 0.6694 0.8410
Pm: 0.5845 0.2222 0.6088
Pm: 0.4155 0.7778 0.3912
Pb: 0.0000 0.0000 0.0000

---

Entry 4:
Compound: Pm4Hg3Pb2
Source: the Alexandria database
Functional: PBE-GGA
Structure: optimized geometry

Properties
- DOS(E_F) (states/eV per cell) = 8.0
- final energy (eV/atom) = -3.48
- volume (Å³ per atom) = 29.04
- ΔH_f (0 K) (meV per atom) = -447.5

a b c (Å): 5.1329 5.1301 11.4622
angles (deg): 90.05 90.00 59.98
Fractional coordinates of all 9 atoms:
Pm: 0.0001 0.9997 0.6564
Pm: 0.3333 0.3335 0.1096
Pm: 0.9999 0.0003 0.3436
Pm: 0.6667 0.6665 0.8904
Hg: 0.6667 0.6667 0.5220
Hg: 0.3333 0.3333 0.4780
Hg: 0.0000 0.0000 0.0000
Pb: 0.3335 0.3330 0.7858
Pb: 0.6665 0.6670 0.2142

---

Entry 5:
Compound: PmHgPb2
Source: the Alexandria database
Functional: PBE-GGA
Structure: optimized geometry

Properties
- DOS(E_F) (states/eV per cell) = 3.9
- final energy (eV/atom) = -3.23
- relative energy among the computed polymorphs (meV/atom) = 270
- volume (Å³ per atom) = 28.98
- ΔH_f (0 K) (meV per atom) = -111.2

a b c (Å): 5.4727 5.4727 5.4727
angles (deg): 60.00 60.00 60.00
Fractional coordinates of all 4 atoms:
Pm: 0.5000 0.5000 0.5000
Pb: 0.2500 0.2500 0.2500
Pb: 0.7500 0.7500 0.7500
Hg: 0.0000 0.0000 0.0000

---

Entry 6:
Compound: Pm2Hg3Pb3
Source: the Alexandria database
Functional: PBE-GGA
Structure: optimized geometry

Properties
- DOS(E_F) (states/eV per cell) = 4.5
- final energy (eV/atom) = -3.09
- volume (Å³ per atom) = 27.15
- ΔH_f (0 K) (meV per atom) = -393.6

a b c (Å): 4.8648 4.7821 9.3376
angles (deg): 90.00 90.00 90.00
Fractional coordinates of all 8 atoms:
Hg: 0.5000 0.5000 0.2426
Hg: 0.5000 0.0000 0.0000
Hg: 0.5000 0.5000 0.7574
Pm: 0.0000 0.0000 0.7512
Pm: 0.0000 0.0000 0.2488
Pb: 0.5000 0.0000 0.5000
Pb: 0.0000 0.5000 0.5000
Pb: 0.0000 0.5000 0.0000